[1]
Entry from Alexandria: crystalline K3Ba at its relaxed geometry (GGA-PBEsol).

Values from the calculation:
Total DFT energy (no corrections)   -5.34 eV/cell
Energy of formation from the pure elements   0.053 eV/atom
Volume   265.8 Å³ per cell
Space-group type   P-6m2 (187)

POSCAR file:
```
K3Ba
1.0
4.4831 0.0000 0.0000
-2.2415 3.8824 0.0000
0.0000 0.0000 15.2733
K Ba
3 1
direct
0.0000 0.0000 0.0000 K
0.3333 0.6667 0.2543 K
0.3333 0.6667 0.7457 K
0.0000 0.0000 0.5000 Ba
```


[2]
Entry from Alexandria: crystalline Cd2SNO at its relaxed geometry (GGA-PBEsol).

Values from the calculation:
Total DFT energy (no corrections)   -17.46 eV/cell
Energy relative to the elements, uncorrected   0.618 eV/atom
Volume   76.3 Å³ per cell
Space-group type   P4/mmm (123)

POSCAR file:
```
Cd2SNO
1.0
4.5318 0.0000 0.0000
0.0000 4.5318 0.0000
0.0000 0.0000 3.7138
Cd S N O
2 1 1 1
direct
0.0000 0.5000 0.0000 Cd
0.5000 0.0000 0.0000 Cd
0.0000 0.0000 0.5000 S
0.5000 0.5000 0.5000 N
0.5000 0.5000 0.0000 O
```


[3]
Entry from Alexandria: crystalline FeAs at its relaxed geometry (GGA-PBEsol).

Values from the calculation:
Total DFT energy (no corrections)   -27.55 eV/cell
Energy of formation from the pure elements   0.147 eV/atom
Volume   52.4 Å³ per cell
Space-group type   Imma (74)

POSCAR file:
```
FeAs
1.0
-1.4659 1.9673 4.5399
1.4659 -1.9673 4.5399
1.4659 1.9673 -4.5399
Fe As
2 2
direct
0.3716 0.1216 0.2500 Fe
0.6284 0.8784 0.7500 Fe
0.1396 0.3896 0.7500 As
0.8604 0.6104 0.2500 As
```


[4]
Entry from Alexandria: crystalline LiY3Os at its relaxed geometry (GGA-PBEsol).

Values from the calculation:
Total DFT energy (no corrections)   -29.48 eV/cell
Energy of formation from the pure elements   1.033 eV/atom
Volume   112.9 Å³ per cell
Space-group type   Pm-3m (221)

POSCAR file:
```
LiY3Os
1.0
4.8327 0.0000 0.0000
0.0000 4.8327 0.0000
0.0000 0.0000 4.8327
Li Y Os
1 3 1
direct
0.0000 0.0000 0.0000 Li
0.0000 0.0000 0.5000 Y
0.0000 0.5000 0.0000 Y
0.5000 0.0000 0.0000 Y
0.5000 0.5000 0.5000 Os
```


[5]
Entry from Alexandria: crystalline MnP2H at its relaxed geometry (GGA-PBEsol).

Values from the calculation:
Total DFT energy (no corrections)   -47.17 eV/cell
Volume   78.4 Å³ per cell
Space-group type   I-42d (122)

POSCAR file:
```
MnP2H
1.0
-2.6210 2.6210 2.8535
2.6210 -2.6210 2.8535
2.6210 2.6210 -2.8535
Mn P H
2 4 2
direct
0.0000 0.0000 0.0000 Mn
0.7500 0.2500 0.5000 Mn
0.1967 0.6250 0.0717 P
0.3750 0.4467 0.5717 P
0.5533 0.1250 0.9283 P
0.8750 0.8033 0.4283 P
0.2500 0.7500 0.5000 H
0.5000 0.5000 0.0000 H
```


[6]
Entry from Alexandria: crystalline YSc2Hg at its relaxed geometry (GGA-PBEsol).

Values from the calculation:
Total DFT energy (no corrections)   -21.57 eV/cell
Energy of formation from the pure elements   -0.242 eV/atom
Volume   95.6 Å³ per cell
Space-group type   P4/mmm (123)

POSCAR file:
```
YSc2Hg
1.0
3.3627 0.0000 0.0000
0.0000 3.3627 0.0000
0.0000 0.0000 8.4538
Y Sc Hg
1 2 1
direct
0.0000 0.0000 0.0000 Y
0.5000 0.5000 0.2814 Sc
0.5000 0.5000 0.7186 Sc
0.0000 0.0000 0.5000 Hg
```


[7]
Entry from Alexandria: crystalline Li5VCr3O8 at its relaxed geometry (GGA-PBEsol).

Values from the calculation:
Total DFT energy (no corrections)   -124.18 eV/cell
E above lowest polymorph   22.4 meV per atom
Energy relative to the elements, uncorrected   -1.882 eV/atom
Volume   146.1 Å³ per cell
Space-group type   R-3m (166)

POSCAR file:
```
Li5VCr3O8
1.0
2.9346 1.6943 4.8977
-2.9346 1.6943 4.8977
0.0000 -3.3885 4.8977
Li V Cr O
5 1 3 8
direct
0.0000 0.0000 0.5000 Li
0.0000 0.5000 0.0000 Li
0.0670 0.0670 0.0670 Li
0.5000 0.0000 0.0000 Li
0.9330 0.9330 0.9330 Li
0.5000 0.5000 0.5000 V
0.0000 0.5000 0.5000 Cr
0.5000 0.0000 0.5000 Cr
0.5000 0.5000 0.0000 Cr
0.2567 0.2567 0.2567 O
0.2568 0.2568 0.7251 O
0.2568 0.7251 0.2568 O
0.2749 0.7432 0.7432 O
0.7251 0.2568 0.2568 O
0.7432 0.2749 0.7432 O
0.7432 0.7432 0.2749 O
0.7433 0.7433 0.7433 O
```


[8]
Entry from Alexandria: crystalline CaReNi2 at its relaxed geometry (GGA-PBEsol).

Values from the calculation:
Total DFT energy (no corrections)   -26.40 eV/cell
E above lowest polymorph   0.0 meV per atom
Energy of formation from the pure elements   0.346 eV/atom
Volume   57.7 Å³ per cell
Space-group type   Imm2 (44)

POSCAR file:
```
CaReNi2
1.0
-1.3248 2.2315 4.8758
1.3248 -2.2315 4.8758
1.3248 2.2315 -4.8758
Ca Re Ni
1 1 2
direct
0.0000 0.0000 0.0000 Ca
0.7115 0.2115 0.5000 Re
0.2736 0.7736 0.5000 Ni
0.4909 0.4909 0.0000 Ni
```